(1)
## DyErTlPd2 (PBE-GGA)

Data for a relaxed structure of DyErTlPd2.

Structure (extended XYZ):
```
5
Lattice="3.641 0.000 0.000 0.000 2.056 7.523 0.000 -2.056 7.523" Properties=species:S:1:pos:R:3 pbc="T T T"
Dy 0.000 0.000 0.000
Er 0.000 0.000 4.051
Tl 1.820 0.000 9.547
Pd 1.820 0.000 6.671
Pd 1.820 0.000 12.397
```

SG ... Amm2
VASP energy ... -5.148 eV/atom



(2)
## Y4NiSbN2 (PBE-GGA)

Data for a relaxed structure of Y4NiSbN2.

Structure (extended XYZ):
```
8
Lattice="3.560 0.000 0.000 -1.780 3.083 0.000 0.000 0.000 14.248" Properties=species:S:1:pos:R:3 pbc="T T T"
Y 0.000 0.000 1.921
Y 0.000 0.000 12.328
Y 1.780 1.028 4.660
Y 1.780 1.028 9.589
Ni 1.780 1.028 0.000
Sb 0.000 0.000 7.124
N 0.000 2.055 3.468
N 0.000 2.055 10.780
```

SG ... P-6m2
VASP energy ... -7.543 eV/atom



(3)
## SmSnHg (PBE-GGA)

Data for a relaxed structure of SmSnHg.

Structure (extended XYZ):
```
3
Lattice="0.000 3.622 3.622 3.622 0.000 3.622 3.622 3.622 0.000" Properties=species:S:1:pos:R:3 pbc="T T T"
Sm 0.000 0.000 0.000
Sn 1.811 1.811 1.811
Hg 5.433 5.433 5.433
```

SG ... F-43m
VASP energy ... -3.251 eV/atom



(4)
## TmZrGa2Au4 (PBE-GGA)

Data for a relaxed structure of TmZrGa2Au4.

Structure (extended XYZ):
```
8
Lattice="4.561 0.000 0.000 -2.280 3.950 0.000 0.000 0.000 8.770" Properties=species:S:1:pos:R:3 pbc="T T T"
Tm 0.000 0.000 0.000
Zr 0.000 2.633 4.385
Ga 2.280 1.317 2.800
Ga 2.280 1.317 5.970
Au 0.000 0.000 2.945
Au 0.000 0.000 5.826
Au 0.000 2.633 1.415
Au 0.000 2.633 7.355
```

SG ... P-6m2
VASP energy ... -4.614 eV/atom